Entry 1:
This record from the Alexandria database describes crystalline Cs2PuCdS4 at its relaxed geometry. The functional is PBE-GGA.

Structure (POSCAR):
```
Cs2PuCdS4
1.0
6.523 0.000 0.000
3.262 7.468 0.000
3.262 0.000 12.668
Cs S Pu Cd
4 8 2 2
direct
0.820 0.000 0.359
0.570 0.500 0.859
0.930 0.500 0.141
0.180 0.000 0.641
0.148 0.298 0.399
0.297 0.798 0.101
0.196 0.202 0.899
0.602 0.202 0.101
0.453 0.702 0.399
0.554 0.298 0.601
0.845 0.702 0.601
0.905 0.798 0.899
0.000 0.000 0.000
0.750 0.500 0.500
0.500 0.000 0.000
0.250 0.500 0.500
```

Computed properties:
- E_form (uncorrected) (eV per atom) = -1.03
- DFT total energy (eV per atom) = -5.21
- ρ (g cm⁻³) = 4.0
- spin magnetization (Bohr magnetons per cell) = 8.00
- calculated volume (Å³ per atom) = 38.6
- SG = Fddd (70)

=====

Entry 2:
This record from the Alexandria database describes crystalline Cs2PuCd2S4 at its relaxed geometry. The functional is PBE-GGA.

Structure (POSCAR):
```
Cs2PuCd2S4
1.0
-1.954 1.910 -2.998
-6.082 -6.114 0.068
-0.660 5.529 6.696
Cs S Pu Cd
2 4 1 2
direct
0.873 0.440 0.745
0.127 0.560 0.255
0.826 0.791 0.652
0.473 0.198 0.945
0.527 0.802 0.055
0.174 0.209 0.348
0.000 0.000 0.000
0.687 0.024 0.374
0.313 0.976 0.626
```

Computed properties:
- E_form (uncorrected) (eV per atom) = -1.01
- DFT total energy (eV per atom) = -4.83
- ρ (g cm⁻³) = 5.3
- spin magnetization (Bohr magnetons per cell) = 4.60
- calculated volume (Å³ per atom) = 30.2
- SG = C2/m (12)

=====

Entry 3:
This record from the Alexandria database describes crystalline Cs3Pu2CdSe6 at its relaxed geometry. The functional is PBE-GGA.

Structure (POSCAR):
```
Cs3Pu2CdSe6
1.0
7.412 0.009 0.008
-3.696 6.424 0.008
-1.230 -2.130 8.317
Se Cd Pu Cs
6 1 2 3
direct
0.939 0.595 0.816
0.061 0.405 0.184
0.720 0.720 0.180
0.280 0.280 0.820
0.405 0.061 0.184
0.595 0.939 0.816
0.000 0.000 0.000
0.667 0.333 0.000
0.333 0.667 0.000
0.838 0.162 0.500
0.500 0.500 0.500
0.162 0.838 0.500
```

Computed properties:
- E_form (uncorrected) (eV per atom) = -0.85
- DFT total energy (eV per atom) = -5.28
- ρ (g cm⁻³) = 6.2
- spin magnetization (Bohr magnetons per cell) = 0.09
- calculated volume (Å³ per atom) = 33.0
- SG = C2/m (12)

=====

Entry 4:
This record from the Alexandria database describes crystalline Cs2PuCdTe4 at its relaxed geometry. The functional is PBE-GGA.

Structure (POSCAR):
```
Cs2PuCdTe4
1.0
7.935 0.000 0.000
3.968 6.548 0.000
3.968 0.000 6.548
Cs Te Cd Pu
2 4 1 1
direct
0.500 0.500 0.500
0.000 0.500 0.500
0.906 0.000 0.668
0.094 0.332 0.000
0.426 0.668 0.000
0.574 0.000 0.332
0.500 0.000 0.000
0.000 0.000 0.000
```

Computed properties:
- E_form (uncorrected) (eV per atom) = -0.73
- DFT total energy (eV per atom) = -4.42
- ρ (g cm⁻³) = 5.5
- spin magnetization (Bohr magnetons per cell) = 3.98
- calculated volume (Å³ per atom) = 42.5
- SG = I-42m (121)

=====

What is the E_form (uncorrected) in the first record?
-1.03 eV per atom

=====

The highest spin magnetization belongs to which entry?
Cs2PuCdS4

=====

Please write out number 2 again, unchanged.
This record from the Alexandria database describes crystalline Cs2PuCd2S4 at its relaxed geometry. The functional is PBE-GGA.

Structure (POSCAR):
```
Cs2PuCd2S4
1.0
-1.954 1.910 -2.998
-6.082 -6.114 0.068
-0.660 5.529 6.696
Cs S Pu Cd
2 4 1 2
direct
0.873 0.440 0.745
0.127 0.560 0.255
0.826 0.791 0.652
0.473 0.198 0.945
0.527 0.802 0.055
0.174 0.209 0.348
0.000 0.000 0.000
0.687 0.024 0.374
0.313 0.976 0.626
```

Computed properties:
- E_form (uncorrected) (eV per atom) = -1.01
- DFT total energy (eV per atom) = -4.83
- ρ (g cm⁻³) = 5.3
- spin magnetization (Bohr magnetons per cell) = 4.60
- calculated volume (Å³ per atom) = 30.2
- SG = C2/m (12)

=====

Please write out number 1 again, unchanged.
This record from the Alexandria database describes crystalline Cs2PuCdS4 at its relaxed geometry. The functional is PBE-GGA.

Structure (POSCAR):
```
Cs2PuCdS4
1.0
6.523 0.000 0.000
3.262 7.468 0.000
3.262 0.000 12.668
Cs S Pu Cd
4 8 2 2
direct
0.820 0.000 0.359
0.570 0.500 0.859
0.930 0.500 0.141
0.180 0.000 0.641
0.148 0.298 0.399
0.297 0.798 0.101
0.196 0.202 0.899
0.602 0.202 0.101
0.453 0.702 0.399
0.554 0.298 0.601
0.845 0.702 0.601
0.905 0.798 0.899
0.000 0.000 0.000
0.750 0.500 0.500
0.500 0.000 0.000
0.250 0.500 0.500
```

Computed properties:
- E_form (uncorrected) (eV per atom) = -1.03
- DFT total energy (eV per atom) = -5.21
- ρ (g cm⁻³) = 4.0
- spin magnetization (Bohr magnetons per cell) = 8.00
- calculated volume (Å³ per atom) = 38.6
- SG = Fddd (70)